[1]
Density functional theory data (SCAN) for ErAl20Cr2 at its PBEsol-relaxed geometry.

Summary:
Energy   -10.7079 eV/atom
Total magnetic moment   31.24 μB/cell
DOS at the Fermi energy   70.1 states/eV/cell

Unit cell a=14.300 b=14.300 c=14.300 alpha=90.00 beta=90.00 gamma=90.00
Space group Fd-3m (No. 227, origin choice 2)
One atom of each set of equivalent atoms:
Er: 0.125 0.125 0.125 x8
Al: 0.000 0.000 0.000 x16
Al: 0.012 0.375 0.875 x48
Al: 0.059 0.059 0.326 x96
Cr: 0.000 0.000 0.500 x16

---

[2]
Density functional theory data (SCAN) for Te2MoP at its PBEsol-relaxed geometry.

Summary:
Energy   -29.7194 eV/atom
Total magnetic moment   0.00 μB/cell
DOS at the Fermi energy   3.1 states/eV/cell
Formation energy (no corrections)   227 meV per atom

Unit cell a=4.522 b=4.423 c=4.533 alpha=90.00 beta=108.85 gamma=90.00
Space group Pm (No. 6)
One atom of each set of equivalent atoms:
Te: 0.000 0.000 0.000 x1
Te: 0.376 0.500 0.635 x1
Mo: 0.770 0.500 0.243 x1
P: 0.665 0.000 0.400 x1

---

[3]
Density functional theory data (SCAN) for Tl2CoH at its PBEsol-relaxed geometry.

Summary:
Energy   -40.5000 eV/atom
Total magnetic moment   7.58 μB/cell
DOS at the Fermi energy   8.9 states/eV/cell

Unit cell a=6.378 b=6.378 c=6.378 alpha=90.00 beta=90.00 gamma=90.00
Space group Fm-3m (No. 225)
One atom of each set of equivalent atoms:
Tl: 0.250 0.250 0.250 x8
Co: 0.000 0.000 0.000 x4
H: 0.000 0.000 0.500 x4

---

[4]
Density functional theory data (SCAN) for NdGeRu at its PBEsol-relaxed geometry.

Summary:
Energy   -33.2830 eV/atom
Total magnetic moment   0.00 μB/cell
DOS at the Fermi energy   4.7 states/eV/cell

Unit cell a=4.241 b=4.241 c=6.829 alpha=90.00 beta=90.00 gamma=90.00
Space group P4/nmm (No. 129, origin choice 2)
One atom of each set of equivalent atoms:
Nd: 0.250 0.250 0.184 x2
Ge: 0.250 0.250 0.693 x2
Ru: 0.250 0.750 0.500 x2

---

[5]
Density functional theory data (SCAN) for Li4Cr5SbO12 at its PBEsol-relaxed geometry.

Summary:
Energy   -12.0152 eV/atom
Total magnetic moment   29.92 μB/cell
DOS at the Fermi energy   9.6 states/eV/cell
Formation energy (no corrections)   -2310 meV per atom

Unit cell a=5.146 b=8.909 c=10.216 alpha=90.00 beta=97.17 gamma=90.00
Space group C2/m (No. 12)
One atom of each set of equivalent atoms:
Li: 0.217 0.169 0.210 x8
Cr: 0.000 0.000 0.000 x2
Cr: 0.000 0.165 0.500 x4
Cr: 0.000 0.337 0.000 x4
Sb: 0.000 0.500 0.500 x2
O: 0.136 0.172 0.899 x8
O: 0.152 0.500 0.898 x4
O: 0.185 0.000 0.598 x4
O: 0.195 0.330 0.601 x8

---

[6]
Density functional theory data (SCAN) for DyYIr2 at its PBEsol-relaxed geometry.

Summary:
Energy   -55.4450 eV/atom
Total magnetic moment   0.00 μB/cell
DOS at the Fermi energy   6.2 states/eV/cell

Unit cell a=6.756 b=6.756 c=6.756 alpha=90.00 beta=90.00 gamma=90.00
Space group Fm-3m (No. 225)
One atom of each set of equivalent atoms:
Dy: 0.000 0.000 0.000 x4
Y: 0.000 0.000 0.500 x4
Ir: 0.250 0.250 0.250 x8

---

[7]
Density functional theory data (SCAN) for MgAlH2 at its PBEsol-relaxed geometry.

Summary:
Energy   -4.3702 eV/atom
Total magnetic moment   0.00 μB/cell
DOS at the Fermi energy   3.6 states/eV/cell

Unit cell a=5.632 b=5.632 c=5.632 alpha=90.00 beta=90.00 gamma=90.00
Space group Fm-3m (No. 225)
One atom of each set of equivalent atoms:
Mg: 0.000 0.000 0.000 x4
Al: 0.000 0.000 0.500 x4
H: 0.250 0.250 0.250 x8

---

[8]
Density functional theory data (SCAN) for MgNi6Ru at its PBEsol-relaxed geometry.

Summary:
Energy   -17.1044 eV/atom
Total magnetic moment   43.56 μB/cell
DOS at the Fermi energy   32.9 states/eV/cell

Unit cell a=7.130 b=10.068 c=10.065 alpha=90.00 beta=90.00 gamma=90.00
Space group Cmmm (No. 65)
One atom of each set of equivalent atoms:
Mg: 0.000 0.000 0.250 x4
Mg: 0.000 0.248 0.000 x4
Ni: 0.000 0.000 0.000 x2
Ni: 0.000 0.000 0.500 x2
Ni: 0.000 0.253 0.255 x8
Ni: 0.000 0.500 0.000 x2
Ni: 0.000 0.500 0.500 x2
Ni: 0.245 0.373 0.377 x16
Ni: 0.245 0.377 0.127 x16
Ru: 0.000 0.245 0.500 x4
Ru: 0.000 0.500 0.247 x4

---

[9]
Density functional theory data (SCAN) for Tl2CrAu at its PBEsol-relaxed geometry.

Summary:
Energy   -57.8154 eV/atom
Total magnetic moment   4.32 μB/cell
DOS at the Fermi energy   1.5 states/eV/cell

Unit cell a=3.381 b=3.381 c=7.097 alpha=90.00 beta=90.00 gamma=90.00
Space group P4/mmm (No. 123)
One atom of each set of equivalent atoms:
Tl: 0.000 0.000 0.247 x2
Cr: 0.500 0.500 0.000 x1
Au: 0.500 0.500 0.500 x1

---

[10]
Density functional theory data (SCAN) for KSiB3 at its PBEsol-relaxed geometry.

Summary:
Energy   -4.5024 eV/atom
Total magnetic moment   0.58 μB/cell
DOS at the Fermi energy   3.9 states/eV/cell
Formation energy (no corrections)   3624 meV per atom

Unit cell a=4.603 b=4.603 c=4.603 alpha=90.00 beta=90.00 gamma=90.00
Space group Pm-3m (No. 221)
One atom of each set of equivalent atoms:
K: 0.000 0.000 0.000 x1
Si: 0.500 0.500 0.500 x1
B: 0.000 0.000 0.500 x3

---

[11]
Density functional theory data (SCAN) for SrLi2P at its PBEsol-relaxed geometry.

Summary:
Energy   -10.1152 eV/atom
Total magnetic moment   2.83 μB/cell
DOS at the Fermi energy   1.5 states/eV/cell

Unit cell a=4.2621 b=4.2621 c=16.1748 alpha=90.00 beta=90.00 gamma=120.00
Space group R3m (No. 160, hexagonal axes)
One atom of each set of equivalent atoms:
Sr: 0.0000 0.0000 0.0000 x3
Li: 0.0000 0.0000 0.1873 x3
Li: 0.0000 0.0000 0.4779 x3
P: 0.0000 0.0000 0.7977 x3

---

[12]
Density functional theory data (SCAN) for YSc2Cr at its PBEsol-relaxed geometry.

Summary:
Energy   -18.5667 eV/atom
Total magnetic moment   2.79 μB/cell
DOS at the Fermi energy   5.5 states/eV/cell

Unit cell a=3.248 b=3.248 c=8.316 alpha=90.00 beta=90.00 gamma=90.00
Space group P4/mmm (No. 123)
One atom of each set of equivalent atoms:
Y: 0.000 0.000 0.000 x1
Sc: 0.500 0.500 0.309 x2
Cr: 0.000 0.000 0.500 x1

---

[13]
Density functional theory data (SCAN) for CoNi3Os at its PBEsol-relaxed geometry.

Summary:
Energy   -26.0556 eV/atom
Total magnetic moment   6.56 μB/cell
DOS at the Fermi energy   5.5 states/eV/cell

Unit cell a=4.082 b=4.082 c=4.082 alpha=90.00 beta=90.00 gamma=90.00
Space group Pm-3m (No. 221)
One atom of each set of equivalent atoms:
Co: 0.000 0.000 0.000 x1
Ni: 0.000 0.000 0.500 x3
Os: 0.500 0.500 0.500 x1

---

[14]
Density functional theory data (SCAN) for KSN2 at its PBEsol-relaxed geometry.

Summary:
Energy   -7.8939 eV/atom
Total magnetic moment   0.00 μB/cell
DOS at the Fermi energy   3.1 states/eV/cell
Formation energy (no corrections)   1241 meV per atom

Unit cell a=2.8712 b=2.8712 c=21.0267 alpha=90.00 beta=90.00 gamma=120.00
Space group R-3m (No. 166, hexagonal axes)
One atom of each set of equivalent atoms:
K: 0.0000 0.0000 0.0000 x3
S: 0.0000 0.0000 0.5000 x3
N: 0.0000 0.0000 0.1187 x6

---

[15]
Density functional theory data (SCAN) for SrAlRu at its PBEsol-relaxed geometry.

Summary:
Energy   -21.8015 eV/atom
Total magnetic moment   0.00 μB/cell
DOS at the Fermi energy   3.6 states/eV/cell

Unit cell a=3.358 b=3.358 c=11.052 alpha=90.00 beta=90.00 gamma=90.00
Space group I4mm (No. 107)
One atom of each set of equivalent atoms:
Sr: 0.000 0.000 0.000 x2
Al: 0.000 0.000 0.723 x2
Ru: 0.000 0.000 0.292 x2

---

[16]
Density functional theory data (SCAN) for TlOsW2 at its PBEsol-relaxed geometry.

Summary:
Energy   -70.1256 eV/atom
Total magnetic moment   0.00 μB/cell
DOS at the Fermi energy   4.3 states/eV/cell

Unit cell a=9.622 b=2.998 c=4.706 alpha=90.00 beta=103.25 gamma=90.00
Space group C2/m (No. 12)
One atom of each set of equivalent atoms:
Tl: 0.000 0.000 0.000 x2
Os: 0.000 0.500 0.500 x2
W: 0.239 0.000 0.722 x4

---

[17]
Density functional theory data (SCAN) for Y2AlFe2 at its PBEsol-relaxed geometry.

Summary:
Energy   -20.0735 eV/atom
Total magnetic moment   7.01 μB/cell
DOS at the Fermi energy   6.3 states/eV/cell

Unit cell a=6.677 b=6.677 c=4.143 alpha=90.00 beta=90.00 gamma=90.00
Space group P4/mbm (No. 127)
One atom of each set of equivalent atoms:
Y: 0.182 0.318 0.000 x4
Al: 0.000 0.000 0.500 x2
Fe: 0.114 0.614 0.500 x4

---

[18]
Density functional theory data (SCAN) for CdRuC3 at its PBEsol-relaxed geometry.

Summary:
Energy   -15.3557 eV/atom
Total magnetic moment   1.25 μB/cell
DOS at the Fermi energy   2.9 states/eV/cell

Unit cell a=4.064 b=4.064 c=4.064 alpha=90.00 beta=90.00 gamma=90.00
Space group Pm-3m (No. 221)
One atom of each set of equivalent atoms:
Cd: 0.000 0.000 0.000 x1
Ru: 0.500 0.500 0.500 x1
C: 0.000 0.000 0.500 x3

---

[19]
Density functional theory data (SCAN) for TaCrBr2 at its PBEsol-relaxed geometry.

Summary:
Energy   -29.9328 eV/atom
Total magnetic moment   11.00 μB/cell
DOS at the Fermi energy   8.9 states/eV/cell
Formation energy (no corrections)   1039 meV per atom

Unit cell a=6.651 b=6.651 c=6.651 alpha=90.00 beta=90.00 gamma=90.00
Space group F-43m (No. 216)
One atom of each set of equivalent atoms:
Ta: 0.000 0.000 0.000 x4
Cr: 0.250 0.250 0.250 x4
Br: 0.000 0.000 0.500 x4
Br: 0.250 0.250 0.750 x4

---

[20]
Density functional theory data (SCAN) for BaSrAs2 at its PBEsol-relaxed geometry.

Summary:
Energy   -26.5074 eV/atom
Total magnetic moment   0.00 μB/cell
DOS at the Fermi energy   2.4 states/eV/cell

Unit cell a=5.825 b=5.825 c=3.294 alpha=90.00 beta=90.00 gamma=90.00
Space group P4/mmm (No. 123)
One atom of each set of equivalent atoms:
Ba: 0.000 0.000 0.000 x1
Sr: 0.500 0.500 0.000 x1
As: 0.000 0.500 0.500 x2